The following is a GGA-PBE calculation of a relaxed KRe3 crystal, from Alexandria.

Distance to the lowest polymorph of the same formula in meV per atom: 540

a = 6.687 Å, b = 6.687 Å, c = 4.269 Å
α = 90.00°, β = 90.00°, γ = 103.78°
Atoms (fractional coordinates):
Re (0.081, 0.230, 0.750)
Re (0.230, 0.081, 0.250)
Re (0.770, 0.919, 0.750)
Re (0.919, 0.770, 0.250)
Re (0.859, 0.141, 0.250)
K (0.615, 0.385, 0.750)
K (0.385, 0.615, 0.250)
Re (0.141, 0.859, 0.750)

=====

The following is a GGA-PBE calculation of a relaxed TbPm6Nd crystal, from Alexandria.

a = 5.147 Å, b = 5.147 Å, c = 10.300 Å
α = 90.00°, β = 90.00°, γ = 90.00°
Atoms (fractional coordinates):
Tb (0.000, 0.000, 0.500)
Pm (0.500, 0.000, 0.252)
Pm (0.000, 0.500, 0.748)
Pm (0.000, 0.500, 0.252)
Pm (0.500, 0.000, 0.748)
Pm (0.500, 0.500, 0.500)
Nd (0.000, 0.000, 0.000)
Pm (0.500, 0.500, 0.000)

=====

Listing calculated volume for the structures above in their given order: 185, 273 Å³ per cell.
Listing formation enthalpy at 0 K for the structures above in their given order: 1.27, 0.02 eV/atom.